(1)
## Rb2Dy (PBE)

Data for Rb2Dy after structural relaxation.

abc: 6.922 6.922 6.922
angles: 60.00 60.00 60.00
Element x y z (fractional)
Dy  0.000  0.000  0.000
Rb  0.250  0.250  0.250
Rb  0.750  0.750  0.750

## Properties
For the total energy, the calculation gives -3.4 eV per cell. Its space group is Fm-3m (225).

(2)
## RbSmTe (PBE)

Data for RbSmTe after structural relaxation.

abc: 5.496 5.496 5.496
angles: 60.00 60.00 60.00
Element x y z (fractional)
Rb  0.500  0.500  0.500
Sm  0.000  0.000  0.000
Te  0.250  0.250  0.250

## Properties
For the total energy, the calculation gives -9.7 eV per cell. Its space group is F-43m (216).